## AlZnCuOs2 (GGA-PBEsol)

Data for a geometry-optimized AlZnCuOs2 structure.

Calculated values
Crystal system: tetragonal
Fermi-level density of states: 6.9 states/eV per cell
DFT formation energy: 1.49 eV per atom
SG: P4/mmm (123)

abc: 4.4750 4.4750 4.1515
angles: 90.00 90.00 90.00
Fractional positions:
Al1 0.0000 0.0000 0.0000
Zn1 0.5000 0.5000 0.0000
Cu1 0.0000 0.0000 0.5000
Os1 0.0000 0.5000 0.5000
Os2 0.5000 0.0000 0.5000


## MgFe (GGA-PBEsol)

Data for a geometry-optimized MgFe structure.

Calculated values
Crystal system: hexagonal
Fermi-level density of states: 6.9 states/eV per cell
DFT formation energy: 1.46 eV per atom
SG: P6_3/mmc (194)

abc: 4.4713 4.4713 5.0628
angles: 90.00 90.00 120.00
Fractional positions:
Mg1 0.3333 0.6667 0.2500
Mg2 0.6667 0.3333 0.7500
Fe1 0.3333 0.6667 0.7500
Fe2 0.6667 0.3333 0.2500


## Zn2NiPb (GGA-PBEsol)

Data for a geometry-optimized Zn2NiPb structure.

Calculated values
Crystal system: monoclinic
Fermi-level density of states: 3.5 states/eV per cell
DFT formation energy: 0.15 eV per atom
SG: C2/m (12)

abc: 8.4127 3.4885 4.7505
angles: 90.00 104.39 90.00
Fractional positions:
Zn1 0.2241 0.0000 0.1664
Zn2 0.2759 0.5000 0.8336
Zn3 0.7241 0.5000 0.1664
Zn4 0.7759 0.0000 0.8336
Ni1 0.0000 0.5000 0.0000
Ni2 0.5000 0.0000 0.0000
Pb1 0.0000 0.0000 0.5000
Pb2 0.5000 0.5000 0.5000


## NaCuSb3 (GGA-PBEsol)

Data for a geometry-optimized NaCuSb3 structure.

Calculated values
Crystal system: cubic
Fermi-level density of states: 3.3 states/eV per cell
SG: Pm-3m (221)
E_form (uncorrected): 0.215 eV/atom

abc: 5.1227 5.1227 5.1227
angles: 90.00 90.00 90.00
Fractional positions:
Na1 0.0000 0.0000 0.0000
Cu1 0.5000 0.5000 0.5000
Sb1 0.0000 0.5000 0.5000
Sb2 0.5000 0.0000 0.5000
Sb3 0.5000 0.5000 0.0000


## Lu6Co2Sn (GGA-PBEsol)

Data for a geometry-optimized Lu6Co2Sn structure.

Calculated values
Crystal system: orthorhombic
Fermi-level density of states: 11.6 states/eV per cell
DFT formation energy: -0.40 eV per atom
SG: Immm (71)

abc: 8.0404 8.0404 8.0404
angles: 111.59 109.88 106.98
Fractional positions:
Lu1 0.0275 0.2379 0.7896
Lu2 0.1843 0.2841 0.4684
Lu3 0.1843 0.7159 0.9001
Lu4 0.3248 0.0133 0.6885
Lu5 0.3248 0.6362 0.3115
Lu6 0.4483 0.2379 0.2104
Lu7 0.5517 0.7621 0.7896
Lu8 0.6752 0.3638 0.6885
Lu9 0.6752 0.9867 0.3115
Lu10 0.8157 0.2841 0.0999
Lu11 0.8157 0.7159 0.5316
Lu12 0.9725 0.7621 0.2104
Co1 0.1157 0.6157 0.5000
Co2 0.3430 0.0000 0.3430
Co3 0.6570 0.0000 0.6570
Co4 0.8843 0.3843 0.5000
Sn1 0.0000 0.0000 0.0000
Sn2 0.5000 0.5000 0.0000


## Y2CrBr (GGA-PBEsol)

Data for a geometry-optimized Y2CrBr structure.

Calculated values
Crystal system: trigonal
Fermi-level density of states: 6.1 states/eV per cell
SG: R-3m (166)
E_form (uncorrected): -0.195 eV/atom
E above lowest polymorph: 87.4 meV/atom

abc: 3.7045 3.7045 24.7025
angles: 90.00 90.00 120.00
Fractional positions:
Y1 0.0000 0.0000 0.2442
Y2 0.0000 0.0000 0.7558
Y3 0.3333 0.6667 0.4225
Y4 0.3333 0.6667 0.9108
Y5 0.6667 0.3333 0.0892
Y6 0.6667 0.3333 0.5775
Cr1 0.0000 0.0000 0.5000
Cr2 0.3333 0.6667 0.1667
Cr3 0.6667 0.3333 0.8333
Br1 0.0000 0.0000 0.0000
Br2 0.3333 0.6667 0.6667
Br3 0.6667 0.3333 0.3333


no.,VASP energy (eV per atom),calculated density (g cm⁻³)
1,-5.394,10.7
2,-3.878,3.0
3,-3.179,9.8
4,-3.666,5.6
5,-5.841,10.7
6,-6.634,5.3